## SbIrRh (PBE-GGA)

Data for a relaxed SbIrRh crystal.

Calculated values
SG: F-43m
formation energy (no corrections): -0.098 eV per atom

Geometry as POSCAR:
```
SbIrRh
1.0
0.0000 3.0292 3.0292
3.0292 0.0000 3.0292
3.0292 3.0292 0.0000
Sb Ir Rh
1 1 1
Cartesian
0.0000 0.0000 0.0000
1.5146 1.5146 1.5146
4.5438 4.5438 4.5438
```